No. 1
VASP calculation (GGA-PBE) on a relaxed structure of FeC6N6.

The space group is P-31m (No. 162) and the conventional cell measures 6.4207, 6.4207 and 6.6422 Å, with angles of 90.00, 90.00 and 120.00 degrees. Symmetry generates all atoms from Fe at (0.0000, 0.0000, 0.0000), C at (0.0000, 0.2404, 0.1689) and N at (0.0000, 0.3963, 0.2639).

The calculation puts the total DFT energy (no corrections) at -7.6014 eV per atom. For the energy relative to the elements, uncorrected, the calculation gives 1149 meV per atom. The density comes out at 1.48 g cm⁻³. The value obtained for the offset from the most stable computed form is 293.9 meV/atom.



No. 2
VASP calculation (GGA-PBE) on a relaxed structure of FeCN2.

The space group is P6_3/mmc (No. 194) and the conventional cell measures 3.1542, 3.1542 and 9.7063 Å, with angles of 90.00, 90.00 and 120.00 degrees. Symmetry generates all atoms from Fe at (0.0000, 0.0000, 0.0000), C at (0.3333, 0.6667, 0.2500) and N at (0.3333, 0.6667, 0.1226).

The calculation puts the total DFT energy (no corrections) at -8.3498 eV per atom. For the energy relative to the elements, uncorrected, the calculation gives 234 meV per atom. The density comes out at 3.81 g cm⁻³.



No. 3
VASP calculation (GGA-PBE) on a relaxed structure of Na2FeCN.

The space group is P4/mmm (No. 123) and the conventional cell measures 5.763, 5.763 and 2.534 Å, with angles of 90.00, 90.00 and 90.00 degrees. Symmetry generates all atoms from Na at (0.000, 0.500, 0.000), Fe at (0.000, 0.000, 0.500), C at (0.500, 0.500, 0.500) and N at (0.500, 0.500, 0.000).

The calculation puts the total DFT energy (no corrections) at -4.7531 eV per atom. For the energy relative to the elements, uncorrected, the calculation gives 977 meV per atom. The density comes out at 2.52 g cm⁻³.



No. 4
VASP calculation (GGA-PBE) on a relaxed structure of Nd3FeC2N6.

The space group is P-3m1 (No. 164) and the conventional cell measures 5.3515, 5.3515 and 6.3264 Å, with angles of 90.00, 90.00 and 120.00 degrees. Symmetry generates all atoms from Nd at (0.0000, 0.0000, 0.0000), Nd at (0.3333, 0.6667, 0.6629), Fe at (0.0000, 0.0000, 0.5000), C at (0.3333, 0.6667, 0.2679) and N at (0.1855, 0.3711, 0.2787).

The calculation puts the total DFT energy (no corrections) at -8.1371 eV per atom. For the energy relative to the elements, uncorrected, the calculation gives -540 meV per atom. The density comes out at 6.31 g cm⁻³.



No. 5
VASP calculation (GGA-PBE) on a relaxed structure of Nd2FeC2N6.

The space group is R-3m (No. 166, hexagonal axes) and the conventional cell measures 5.1141, 5.1141 and 15.3508 Å, with angles of 90.00, 90.00 and 120.00 degrees. Symmetry generates all atoms from Nd at (0.0000, 0.0000, 0.2213), Fe at (0.0000, 0.0000, 0.0000), C at (0.0000, 0.0000, 0.4089) and N at (0.0240, 0.5120, 0.2530).

The calculation puts the total DFT energy (no corrections) at -8.2681 eV per atom. For the energy relative to the elements, uncorrected, the calculation gives -414 meV per atom. The density comes out at 6.48 g cm⁻³.



No. 6
VASP calculation (GGA-PBE) on a relaxed structure of FeNi2C6N6.

The space group is F-43m (No. 216) and the conventional cell measures 10.034, 10.034 and 10.034 Å, with angles of 90.00, 90.00 and 90.00 degrees. Symmetry generates all atoms from Fe at (0.000, 0.000, 0.000), Ni at (0.000, 0.000, 0.500), Ni at (0.250, 0.250, 0.250), C at (0.000, 0.000, 0.187) and N at (0.000, 0.000, 0.304).

The calculation puts the total DFT energy (no corrections) at -7.6676 eV per atom. For the energy relative to the elements, uncorrected, the calculation gives 687 meV per atom. The density comes out at 2.17 g cm⁻³.